(1)
Material: RbZn2Ni
Method: DFT, GGA-PBE
State: optimized geometry

Cell lengths 5.0329, 5.0329, 5.0329 Å; angles 60.00, 60.00, 60.00 degrees
Element x y z (fractional)
Rb  0.5000  0.5000  0.5000
Zn  0.2500  0.2500  0.2500
Ni  0.0000  0.0000  0.0000
Zn  0.7500  0.7500  0.7500

Its volume is 90.1 Å³/f.u. Its symmetry is No. 225. As for the formation energy from the elements: 667 meV per atom. Its total energy is -6.63 eV/cell.


(2)
Material: RbZn2Ni2
Method: DFT, GGA-PBE
State: optimized geometry

Cell lengths 4.2410, 4.2410, 6.9953 Å; angles 72.35, 72.35, 90.00 degrees
Element x y z (fractional)
Rb  0.0000  0.0000  0.0000
Zn  0.3327  0.3327  0.3346
Ni  0.2500  0.7500  0.5000
Ni  0.7500  0.2500  0.5000
Zn  0.6673  0.6673  0.6654

Its volume is 113.7 Å³/f.u. Its symmetry is No. 139. As for the formation energy from the elements: 244 meV per atom. Its total energy is -13.86 eV/cell.


(3)
Material: Rb3ZnNi
Method: DFT, GGA-PBE
State: optimized geometry

Cell lengths 6.4419, 6.4419, 6.4419 Å; angles 90.00, 90.00, 90.00 degrees
Element x y z (fractional)
Rb  0.0000  0.5000  0.0000
Zn  0.5000  0.5000  0.5000
Rb  0.5000  0.0000  0.0000
Ni  0.0000  0.0000  0.0000
Rb  0.0000  0.0000  0.5000

Its volume is 267.3 Å³/f.u. Its symmetry is No. 221. As for the formation energy from the elements: 590 meV per atom. Its total energy is -7.01 eV/cell.


(4)
Material: RbZn3Ni
Method: DFT, GGA-PBE
State: optimized geometry

Cell lengths 4.8308, 4.8308, 4.8308 Å; angles 90.00, 90.00, 90.00 degrees
Element x y z (fractional)
Zn  0.0000  0.0000  0.5000
Ni  0.0000  0.0000  0.0000
Zn  0.0000  0.5000  0.0000
Rb  0.5000  0.5000  0.5000
Zn  0.5000  0.0000  0.0000

Its volume is 112.7 Å³/f.u. Its symmetry is No. 221. As for the formation energy from the elements: 35 meV per atom. Its total energy is -10.40 eV/cell.


Summary of N(E_F) in states/eV per atom
0.66, 0.55, 1.30, 0.41
(order as listed above)
Summary of excess energy over the best structure of this formula in the dataset in meV per atom
432, 0, 0, 0
(order as listed above)